# 1
Li5TmMg5 | PBE | relaxed

Results
**Magnetic moment**: 0.000 μB per atom
**Calculated volume**: 21.53 Å³ per atom
**Energy relative to the elements**: 0.042 eV per atom
**Symmetry**: P-6m2 (187)

a = 5.3047 Å, b = 5.3047 Å, c = 9.7193 Å
α = 90.00°, β = 90.00°, γ = 120.00°
Sites, in units of the cell vectors:
Li 0.3421 0.1710 0.5000
Li 0.0000 0.0000 0.2654
Li 0.8290 0.6579 0.5000
Li 0.8290 0.1710 0.5000
Li 0.0000 0.0000 0.7346
Tm 0.3333 0.6667 0.0000
Mg 0.6667 0.3333 0.1731
Mg 0.6667 0.3333 0.8269
Mg 0.3333 0.6667 0.3337
Mg 0.3333 0.6667 0.6663
Mg 0.0000 0.0000 0.0000

=====

# 2
SrGa3Os | PBE | relaxed

Results
**Magnetic moment**: 0.000 μB per atom
**Calculated volume**: 22.70 Å³ per atom
**Energy relative to the elements**: -0.301 eV per atom
**Distance to the lowest polymorph of the same formula**: 0.00 eV per formula unit
**Symmetry**: Pm-3m (221)

a = 4.8419 Å, b = 4.8419 Å, c = 4.8419 Å
α = 90.00°, β = 90.00°, γ = 90.00°
Sites, in units of the cell vectors:
Sr 0.5000 0.5000 0.5000
Os 0.0000 0.0000 0.0000
Ga 0.0000 0.5000 0.0000
Ga 0.0000 0.0000 0.5000
Ga 0.5000 0.0000 0.0000